# PBE Li6PmAg2, relaxed
data_Li6PmAg2
_symmetry_space_group_name_H-M 'P 4/m m m'
_symmetry_Int_Tables_number 123
_symmetry_space_group_name_Hall '-P 4 2'
_cell_length_a 4.0687
_cell_length_b 4.0687
_cell_length_c 11.2062
_cell_angle_alpha 90.00
_cell_angle_beta 90.00
_cell_angle_gamma 90.00
loop_
_atom_site_label
_atom_site_fract_x
_atom_site_fract_y
_atom_site_fract_z
Li1 0.0000 0.0000 0.0000
Li2 0.0000 0.5000 0.2110
Li3 0.5000 0.5000 0.0000
Pm1 0.0000 0.0000 0.5000
Ag1 0.5000 0.5000 0.3726
# - Calculated volume: 20.6 Å³ per atom
# - Formation enthalpy at 0 K: -1.0 eV/f.u.
# - Crystal system: tetragonal